The following is a DFT calculation (PBE-GGA) of crystalline LiCuSe2 at its relaxed geometry.

Cell: 4.952 4.952 2.783 Å, 90.00 90.00 90.00°
Positions (direct):
Li (0.000, 0.000, 0.000)
Cu (0.500, 0.500, 0.000)
Se (0.000, 0.500, 0.500)
Se (0.500, 0.000, 0.500)

Output
**Raw formation energy**: -272 meV/atom
**Total magnetic moment**: 0.0 Bohr magnetons per cell
**Electronic total energy**: -3.517 eV/atom
**Symmetry**: P4/mmm (123)